[1]
{"formula": "Fe2PdRh6", "functional": "PBE-GGA", "state": "relaxed", "ef_ev_per_atom": 0.000, "dft_energy_ev_per_cell": -66.22, "space_group": "C2/m (12)", "cell": [[4.249, -1.915, 0.000], [4.249, 1.915, 0.000], [-2.479, 0.000, 7.713]], "species": ["Fe", "Fe", "Pd", "Rh", "Rh", "Rh", "Rh", "Rh", "Rh"], "frac_coords": [[0.170, 0.170, 0.222], [0.830, 0.830, 0.778], [0.500, 0.500, 0.000], [0.165, 0.165, 0.885], [0.168, 0.168, 0.555], [0.500, 0.500, 0.334], [0.500, 0.500, 0.666], [0.832, 0.832, 0.445], [0.835, 0.835, 0.115]]}

[2]
{"formula": "MgAsBr", "functional": "PBE-GGA", "state": "relaxed", "e_above_lowest_polymorph_mev_per_atom": 458, "raw_formation_energy_mev_per_atom": -380.5, "dft_energy_ev_per_cell": -9.06, "space_group": "Fmm2 (42)", "cell": [[0.000, 2.284, 7.957], [2.261, 0.000, 7.957], [2.261, 2.284, 0.000]], "species": ["Mg", "As", "Br"], "frac_coords": [[0.000, 0.000, 0.000], [0.626, 0.626, 0.374], [0.399, 0.399, 0.601]]}